1.
A plane-wave DFT calculation with PBE was carried out for an optimized crystal structure of Mg5Pd4Pb.

Properties
- Calculated volume: 180.7 Å³/cell
- Energy of formation from the pure elements: -13.83 kcal/mol of atoms

abc: 3.230 3.230 17.317
angles: 90.00 90.00 90.00
Atoms (fractional coordinates):
Mg 0.500 0.500 0.319
Pb 0.000 0.000 0.000
Pd 0.000 0.000 0.772
Pd 0.000 0.000 0.410
Pd 0.000 0.000 0.228
Pd 0.000 0.000 0.590
Mg 0.500 0.500 0.681
Mg 0.500 0.500 0.139
Mg 0.500 0.500 0.500
Mg 0.500 0.500 0.861

2.
A plane-wave DFT calculation with PBE was carried out for an optimized crystal structure of Ti12NiPd3.

Properties
- Calculated volume: 258.3 Å³/cell
- Energy of formation from the pure elements: -4.28 kcal/mol of atoms

abc: 3.992 3.993 16.202
angles: 90.00 90.00 90.00
Atoms (fractional coordinates):
Pd 0.000 0.000 0.753
Pd 0.000 0.000 0.247
Ti 0.500 0.500 0.245
Ti 0.000 0.500 0.882
Ti 0.000 0.500 0.118
Ti 0.500 0.500 0.755
Ti 0.500 0.000 0.627
Ti 0.500 0.000 0.882
Ti 0.500 0.500 0.500
Ti 0.000 0.500 0.627
Ti 0.500 0.500 0.000
Ti 0.500 0.000 0.373
Ni 0.000 0.000 0.000
Pd 0.000 0.000 0.500
Ti 0.000 0.500 0.373
Ti 0.500 0.000 0.118

3.
A plane-wave DFT calculation with PBE was carried out for an optimized crystal structure of OsPb2Se.

Properties
- Calculated volume: 101.8 Å³/cell
- Formation energy without anion corrections: 0.399 eV/atom

abc: 4.510 4.998 4.998
angles: 64.68 90.00 90.00
Atoms (fractional coordinates):
Pb 0.000 0.923 0.923
Se 0.000 0.576 0.576
Os 0.500 0.694 0.694
Pb 0.500 0.307 0.307

4.
A plane-wave DFT calculation with PBE was carried out for an optimized crystal structure of BiPdPb4.

Properties
- Calculated volume: 351.8 Å³/cell
- Energy of formation from the pure elements: -2.12 kcal/mol of atoms

abc: 5.998 9.192 8.166
angles: 116.25 100.51 109.17
Atoms (fractional coordinates):
Pb 0.287 0.640 0.843
Bi 0.373 0.623 0.245
Pb 0.787 0.717 0.660
Pb 0.627 0.056 0.340
Pd 0.258 0.008 0.016
Pb 0.213 0.283 0.340
Bi 0.627 0.377 0.755
Pb 0.944 0.797 0.157
Pd 0.742 0.992 0.984
Pb 0.713 0.360 0.157
Pb 0.373 0.944 0.660
Pb 0.056 0.203 0.843

5.
A plane-wave DFT calculation with PBE was carried out for an optimized crystal structure of Tb2CeTl2.

Properties
- Calculated volume: 292.6 Å³/cell
- Energy of formation from the pure elements: 0.37 kcal/mol of atoms
- Distance to the lowest polymorph of the same formula: 93 meV per atom

abc: 5.158 5.158 12.697
angles: 90.00 90.00 120.00
Atoms (fractional coordinates):
Tl 0.333 0.667 0.877
Tl 0.333 0.667 0.623
Tl 0.667 0.333 0.377
Tb 0.000 0.000 0.500
Tl 0.667 0.333 0.123
Tb 0.667 0.333 0.750
Ce 0.000 0.000 0.250
Tb 0.333 0.667 0.250
Ce 0.000 0.000 0.750
Tb 0.000 0.000 0.000

6.
A plane-wave DFT calculation with PBE was carried out for an optimized crystal structure of Sr2SmPaAs4.

Properties
- Calculated volume: 227.5 Å³/cell
- Energy of formation from the pure elements: -29.37 kcal/mol of atoms

abc: 4.306 7.396 7.556
angles: 109.02 90.00 90.00
Atoms (fractional coordinates):
As 0.000 0.754 0.222
As 0.500 0.229 0.218
As 0.000 0.246 0.778
Sr 0.000 0.500 0.500
Sm 0.500 0.500 0.000
Pa 0.000 0.000 0.000
As 0.500 0.771 0.782
Sr 0.500 0.000 0.500

7.
A plane-wave DFT calculation with PBE was carried out for an optimized crystal structure of K2InSb.

Properties
- Calculated volume: 142.0 Å³/cell
- Distance to the lowest polymorph of the same formula: 124 meV per atom
- Formation energy without anion corrections: -0.203 eV/atom

abc: 5.856 5.856 5.856
angles: 60.00 60.00 60.00
Atoms (fractional coordinates):
K 0.000 0.000 0.000
Sb 0.750 0.750 0.750
In 0.500 0.500 0.500
K 0.250 0.250 0.250

8.
A plane-wave DFT calculation with PBE was carried out for an optimized crystal structure of HoIrRh.

Properties
- Calculated volume: 214.5 Å³/cell
- Energy of formation from the pure elements: -18.09 kcal/mol of atoms
- Distance to the lowest polymorph of the same formula: 7 meV per atom

abc: 5.335 5.335 8.698
angles: 90.00 90.00 119.96
Atoms (fractional coordinates):
Ir 0.001 0.999 0.250
Rh 0.169 0.831 0.000
Ho 0.334 0.666 0.316
Rh 0.170 0.338 0.000
Ir 0.338 0.172 0.500
Ir 0.001 0.999 0.750
Ho 0.334 0.666 0.684
Rh 0.662 0.830 0.000
Rh 0.829 0.171 0.500
Ho 0.667 0.333 0.184
Ho 0.667 0.333 0.816
Ir 0.828 0.662 0.500

9.
A plane-wave DFT calculation with PBE was carried out for an optimized crystal structure of LiEr2Mg2.

Properties
- Calculated volume: 135.1 Å³/cell
- Energy of formation from the pure elements: 2.45 kcal/mol of atoms

abc: 3.258 5.414 8.288
angles: 109.06 101.33 90.00
Atoms (fractional coordinates):
Er 0.713 0.213 0.426
Mg 0.597 0.597 0.193
Er 0.287 0.787 0.574
Li 0.000 0.000 0.000
Mg 0.403 0.403 0.807

10.
A plane-wave DFT calculation with PBE was carried out for an optimized crystal structure of TaBeCo2.

Properties
- Calculated volume: 47.5 Å³/cell
- Energy of formation from the pure elements: -4.70 kcal/mol of atoms

abc: 2.942 3.040 5.312
angles: 90.00 90.00 90.00
Atoms (fractional coordinates):
Ta 0.500 0.500 0.250
Be 0.500 0.500 0.750
Co 0.000 0.000 0.978
Co 0.000 0.000 0.522

11.
A plane-wave DFT calculation with PBE was carried out for an optimized crystal structure of LaAgH8Ir2.

Properties
- Calculated volume: 118.6 Å³/cell
- E_tot: -53.7 eV per cell

abc: 4.964 4.964 6.251
angles: 66.61 66.61 60.00
Atoms (fractional coordinates):
Ir 0.293 0.293 0.121
H 0.092 0.415 0.858
H 0.808 0.808 0.577
H 0.192 0.192 0.423
H 0.636 0.092 0.858
H 0.908 0.585 0.142
Ir 0.707 0.707 0.879
Ag 0.000 0.000 0.000
H 0.585 0.364 0.142
H 0.415 0.636 0.858
La 0.500 0.500 0.500
H 0.364 0.908 0.142

12.
A plane-wave DFT calculation with PBE was carried out for an optimized crystal structure of HoC2N3.

Properties
- Calculated volume: 80.4 Å³/cell
- Formation energy without anion corrections: 0.086 eV/atom

abc: 3.603 5.857 4.806
angles: 127.55 90.00 90.00
Atoms (fractional coordinates):
C 0.989 0.159 0.818
N 0.146 0.000 0.500
C 0.989 0.841 0.182
Ho 0.610 0.500 0.500
N 0.133 0.308 0.117
N 0.133 0.692 0.883